# HfZrSe2F PBE-GGA relaxed
data_HfZrSe2F
_cell_length_a 5.262
_cell_length_b 5.262
_cell_length_c 4.027
_cell_angle_alpha 90.00
_cell_angle_beta 90.00
_cell_angle_gamma 90.00
_space_group_name_H-M_alt 'P 4/m m m'
_space_group_IT_number 123
_space_group_name_Hall '-P 4 2'
loop_
_atom_site_label
_atom_site_fract_x
_atom_site_fract_y
_atom_site_fract_z
Hf1 0.000 0.000 0.000
Zr1 0.500 0.500 0.500
Se1 0.000 0.500 0.500
F1 0.500 0.500 0.000
# - VASP energy (eV per cell) = -32.39
# - D(E_F) (states/eV/cell) = 4.2